(1)
Density functional theory data (PBE-GGA) for an optimized crystal structure of K3BSe3.

Summary:
* E: -3.729 eV per atom
* formation energy from raw total energies: -0.81 eV per atom

a = 9.527 Å, b = 16.442 Å, c = 6.537 Å
α = 90.00°, β = 90.00°, γ = 90.00°
Space group Cmcm (No. 63)
Symmetry-distinct sites (fractional):
1 K 0.000 0.188 0.250 [4 per cell]
2 K 0.217 0.406 0.250 [8 per cell]
3 B 0.000 0.333 0.750 [4 per cell]
4 Se 0.000 0.212 0.750 [4 per cell]
5 Se 0.180 0.394 0.750 [8 per cell]



(2)
Density functional theory data (PBE-GGA) for an optimized crystal structure of PRhC2.

Summary:
* ΔE_f: 0.27 eV per atom
* E: -7.529 eV per atom
* D(E_F): 0.02 states/eV/f.u.

a = 6.954 Å, b = 2.629 Å, c = 5.000 Å
α = 90.00°, β = 104.76°, γ = 90.00°
Space group Cm (No. 8)
Symmetry-distinct sites (fractional):
1 P 0.000 0.000 0.000 [2 per cell]
2 Rh 0.252 0.500 0.256 [2 per cell]
3 C 0.022 0.000 0.636 [2 per cell]
4 C 0.062 0.500 0.528 [2 per cell]



(3)
Density functional theory data (PBE-GGA) for an optimized crystal structure of RbYAs3.

Summary:
* ΔE_f: -0.14 eV per atom
* E: -4.421 eV per atom
* D(E_F): 5.00 states/eV/f.u.

a = 5.530 Å, b = 5.530 Å, c = 5.530 Å
α = 90.00°, β = 90.00°, γ = 90.00°
Space group Pm-3m (No. 221)
Symmetry-distinct sites (fractional):
1 Rb 0.000 0.000 0.000 [1 per cell]
2 Y 0.500 0.500 0.500 [1 per cell]
3 As 0.000 0.500 0.500 [3 per cell]